Record 1
This record from Alexandria describes a geometry-optimized TbDy6Tm12 structure. The functional is PBE.

a = 9.155 Å, b = 9.155 Å, c = 9.155 Å
α = 106.98°, β = 106.98°, γ = 106.98°
Fractional positions:
1 Tm 0.664 0.897 0.664
2 Tm 0.500 0.888 0.112
3 Tm 0.336 0.103 0.336
4 Tm 0.336 0.336 0.103
5 Tm 0.664 0.664 0.897
6 Tm 0.112 0.500 0.888
7 Tm 0.888 0.500 0.112
8 Tm 0.897 0.664 0.664
9 Tm 0.888 0.112 0.500
10 Tm 0.103 0.336 0.336
11 Tm 0.500 0.112 0.888
12 Tm 0.112 0.888 0.500
13 Dy 0.711 0.315 0.315
14 Dy 0.315 0.711 0.315
15 Dy 0.685 0.289 0.685
16 Dy 0.289 0.685 0.685
17 Dy 0.685 0.685 0.289
18 Dy 0.315 0.315 0.711
19 Tb 0.000 0.000 0.000

Output
VASP energy: -4.0650 eV/atom
ΔE to the lowest computed polymorph: 5.55 eV/f.u.
size of the total moment: 0.00 μB/cell
energy of formation from the pure elements: 0.456 eV per atom

Record 2
This record from Alexandria describes a geometry-optimized Tb5Dy2Tm structure. The functional is PBE.

a = 4.998 Å, b = 7.084 Å, c = 14.171 Å
α = 90.00°, β = 90.00°, γ = 90.00°
Fractional positions:
1 Tb 0.000 0.500 0.250
2 Tb 0.500 0.250 0.875
3 Tb 0.500 0.750 0.125
4 Tb 0.000 0.000 0.000
5 Tb 0.500 0.750 0.625
6 Tb 0.500 0.250 0.375
7 Tb 0.000 0.000 0.250
8 Tb 0.000 0.000 0.750
9 Tb 0.000 0.500 0.500
10 Tb 0.000 0.500 0.750
11 Dy 0.500 0.750 0.875
12 Dy 0.500 0.250 0.125
13 Dy 0.500 0.750 0.375
14 Dy 0.500 0.250 0.625
15 Tm 0.000 0.500 0.000
16 Tm 0.000 0.000 0.500

Output
VASP energy: -4.5885 eV/atom
ΔE to the lowest computed polymorph: 0.00 eV/f.u.
size of the total moment: 0.00 μB/cell
energy of formation from the pure elements: 0.015 eV per atom

Record 3
This record from Alexandria describes a geometry-optimized Tb12Dy7Tm structure. The functional is PBE.

a = 6.663 Å, b = 10.923 Å, c = 10.923 Å
α = 64.03°, β = 78.27°, γ = 101.73°
Fractional positions:
1 Dy 0.374 0.304 0.837
2 Dy 0.929 0.141 0.696
3 Dy 0.211 0.837 0.859
4 Dy 0.789 0.163 0.141
5 Dy 0.626 0.696 0.163
6 Dy 0.071 0.859 0.304
7 Dy 0.500 0.000 0.000
8 Tb 0.927 0.424 0.788
9 Tb 0.206 0.935 0.542
10 Tb 0.496 0.212 0.576
11 Tb 0.073 0.576 0.212
12 Tb 0.270 0.523 0.935
13 Tb 0.794 0.065 0.458
14 Tb 0.730 0.477 0.065
15 Tb 0.253 0.458 0.477
16 Tb 0.747 0.542 0.523
17 Tb 0.715 0.788 0.788
18 Tb 0.504 0.788 0.424
19 Tb 0.285 0.212 0.212
20 Tm 0.000 0.000 0.000

Output
VASP energy: -4.2945 eV/atom
ΔE to the lowest computed polymorph: 0.56 eV/f.u.
size of the total moment: 0.00 μB/cell
energy of formation from the pure elements: 0.318 eV per atom

Record 4
This record from Alexandria describes a geometry-optimized Tb4Dy3Tm2 structure. The functional is PBE.

a = 6.757 Å, b = 11.710 Å, c = 11.710 Å
α = 50.26°, β = 57.05°, γ = 57.05°
Fractional positions:
1 Dy 0.064 0.889 0.803
2 Dy 0.936 0.111 0.197
3 Dy 0.750 0.485 0.515
4 Dy 0.564 0.803 0.889
5 Dy 0.436 0.197 0.111
6 Dy 0.250 0.515 0.485
7 Tb 0.535 0.562 0.815
8 Tb 0.965 0.185 0.438
9 Tb 0.035 0.815 0.562
10 Tb 0.476 0.842 0.195
11 Tb 0.524 0.158 0.805
12 Tb 0.976 0.195 0.842
13 Tb 0.024 0.805 0.158
14 Tb 0.465 0.438 0.185
15 Tm 0.426 0.130 0.546
16 Tm 0.074 0.454 0.870
17 Tm 0.926 0.546 0.130
18 Tm 0.574 0.870 0.454

Output
VASP energy: -4.4999 eV/atom
ΔE to the lowest computed polymorph: 0.00 eV/f.u.
size of the total moment: 0.00 μB/cell
energy of formation from the pure elements: 0.086 eV per atom

Record 5
This record from Alexandria describes a geometry-optimized TbDy3Tm4 structure. The functional is PBE.

a = 5.560 Å, b = 3.508 Å, c = 13.254 Å
α = 89.97°, β = 102.11°, γ = 90.00°
Fractional positions:
1 Dy 0.844 0.999 0.688
2 Dy 0.000 0.500 0.000
3 Dy 0.156 0.001 0.312
4 Tm 0.723 0.501 0.446
5 Tm 0.277 0.499 0.554
6 Tm 0.604 0.500 0.208
7 Tm 0.396 0.500 0.792
8 Tb 0.500 0.000 0.000

Output
VASP energy: -4.3302 eV/atom
ΔE to the lowest computed polymorph: 1.66 eV/f.u.
size of the total moment: 0.00 μB/cell
energy of formation from the pure elements: 0.210 eV per atom

Record 6
This record from Alexandria describes a geometry-optimized Tb6Dy8Tm structure. The functional is PBE.

a = 8.998 Å, b = 8.998 Å, c = 8.583 Å
α = 58.39°, β = 58.39°, γ = 60.00°
Fractional positions:
1 Dy 0.278 0.889 0.577
2 Dy 0.255 0.278 0.577
3 Dy 0.423 0.423 0.731
4 Dy 0.745 0.722 0.423
5 Dy 0.889 0.255 0.577
6 Dy 0.722 0.111 0.423
7 Dy 0.577 0.577 0.269
8 Dy 0.111 0.745 0.423
9 Tb 0.894 0.770 0.876
10 Tb 0.540 0.106 0.124
11 Tb 0.106 0.230 0.124
12 Tb 0.230 0.540 0.124
13 Tb 0.460 0.894 0.876
14 Tb 0.770 0.460 0.876
15 Tm 0.000 0.000 0.000

Output
VASP energy: -4.4806 eV/atom
ΔE to the lowest computed polymorph: 0.00 eV/f.u.
size of the total moment: 0.00 μB/cell
energy of formation from the pure elements: 0.124 eV per atom

Record 7
This record from Alexandria describes a geometry-optimized Tb4DyTm10 structure. The functional is PBE.

a = 7.590 Å, b = 9.311 Å, c = 9.311 Å
α = 80.44°, β = 65.95°, γ = 65.95°
Fractional positions:
1 Tb 0.399 0.801 0.400
2 Tb 0.201 0.400 0.199
3 Tb 0.799 0.600 0.801
4 Tb 0.601 0.199 0.600
5 Tm 0.150 0.299 0.899
6 Tm 0.550 0.101 0.299
7 Tm 0.250 0.500 0.500
8 Tm 0.651 0.299 0.899
9 Tm 0.450 0.899 0.701
10 Tm 0.049 0.101 0.299
11 Tm 0.750 0.500 0.500
12 Tm 0.951 0.899 0.701
13 Tm 0.850 0.701 0.101
14 Tm 0.349 0.701 0.101
15 Dy 0.000 0.000 0.000

Output
VASP energy: -3.7816 eV/atom
size of the total moment: 0.00 μB/cell
energy of formation from the pure elements: 0.741 eV per atom

Record 8
This record from Alexandria describes a geometry-optimized Tb2Dy5Tm3 structure. The functional is PBE.

a = 6.925 Å, b = 14.591 Å, c = 14.591 Å
α = 26.12°, β = 76.27°, γ = 76.27°
Fractional positions:
1 Tb 0.904 0.378 0.815
2 Tb 0.096 0.622 0.185
3 Tb 0.404 0.815 0.378
4 Tb 0.596 0.185 0.622
5 Dy 0.250 0.500 0.500
6 Dy 0.934 0.816 0.816
7 Dy 0.210 0.248 0.332
8 Dy 0.750 0.500 0.500
9 Dy 0.290 0.668 0.752
10 Dy 0.790 0.752 0.668
11 Dy 0.434 0.816 0.816
12 Dy 0.566 0.184 0.184
13 Dy 0.710 0.332 0.248
14 Dy 0.066 0.184 0.184
15 Tm 0.750 0.000 0.000
16 Tm 0.250 0.000 0.000
17 Tm 0.409 0.315 0.867
18 Tm 0.909 0.867 0.315
19 Tm 0.091 0.133 0.685
20 Tm 0.591 0.685 0.133

Output
VASP energy: -4.4410 eV/atom
ΔE to the lowest computed polymorph: 0.00 eV/f.u.
size of the total moment: 0.00 μB/cell
energy of formation from the pure elements: 0.128 eV per atom

Record 9
This record from Alexandria describes a geometry-optimized Tb4Dy4Tm5 structure. The functional is PBE.

a = 4.969 Å, b = 9.315 Å, c = 9.315 Å
α = 85.92°, β = 74.53°, γ = 74.53°
Fractional positions:
1 Tb 0.770 0.383 0.077
2 Tb 0.153 0.077 0.617
3 Tb 0.847 0.923 0.383
4 Tb 0.230 0.617 0.923
5 Dy 0.077 0.538 0.307
6 Dy 0.384 0.693 0.538
7 Dy 0.616 0.307 0.462
8 Dy 0.923 0.462 0.693
9 Tm 0.309 0.153 0.230
10 Tm 0.538 0.770 0.153
11 Tm 0.000 0.000 0.000
12 Tm 0.691 0.847 0.770
13 Tm 0.462 0.230 0.847

Output
VASP energy: -4.5409 eV/atom
size of the total moment: 0.00 μB/cell
energy of formation from the pure elements: 0.020 eV per atom

Record 10
This record from Alexandria describes a geometry-optimized Tb3Dy4Tm5 structure. The functional is PBE.

a = 7.037 Å, b = 11.116 Å, c = 12.674 Å
α = 151.29°, β = 56.34°, γ = 129.27°
Fractional positions:
1 Tb 0.417 0.834 0.667
2 Tb 0.000 0.000 0.500
3 Tb 0.583 0.166 0.333
4 Tm 0.668 0.334 0.166
5 Tm 0.332 0.666 0.834
6 Tm 0.250 0.500 0.000
7 Tm 0.750 0.500 0.000
8 Tm 0.500 0.000 0.500
9 Dy 0.083 0.165 0.333
10 Dy 0.168 0.335 0.167
11 Dy 0.917 0.835 0.667
12 Dy 0.832 0.665 0.833

Output
VASP energy: -4.5343 eV/atom
ΔE to the lowest computed polymorph: 0.00 eV/f.u.
size of the total moment: 0.00 μB/cell
energy of formation from the pure elements: 0.020 eV per atom

Record 11
This record from Alexandria describes a geometry-optimized Tb3Dy5Tm structure. The functional is PBE.

a = 6.656 Å, b = 11.920 Å, c = 11.263 Å
α = 135.35°, β = 90.00°, γ = 106.21°
Fractional positions:
1 Tm 0.773 0.000 0.750
2 Tm 0.227 0.000 0.250
3 Tb 0.000 0.000 0.000
4 Tb 0.386 0.527 0.384
5 Tb 0.141 0.527 0.884
6 Tb 0.000 0.000 0.500
7 Tb 0.859 0.473 0.116
8 Tb 0.614 0.473 0.616
9 Dy 0.603 0.216 0.170
10 Dy 0.942 0.650 0.520
11 Dy 0.058 0.350 0.480
12 Dy 0.612 0.216 0.670
13 Dy 0.397 0.784 0.830
14 Dy 0.292 0.350 0.980
15 Dy 0.388 0.784 0.330
16 Dy 0.681 0.000 0.250
17 Dy 0.319 0.000 0.750
18 Dy 0.708 0.650 0.020

Output
VASP energy: -4.4202 eV/atom
ΔE to the lowest computed polymorph: 0.00 eV/f.u.
size of the total moment: 0.00 μB/cell
energy of formation from the pure elements: 0.177 eV per atom

Record 12
This record from Alexandria describes a geometry-optimized Tb3Dy5Tm4 structure. The functional is PBE.

a = 7.045 Å, b = 11.130 Å, c = 12.688 Å
α = 151.28°, β = 56.32°, γ = 129.29°
Fractional positions:
1 Dy 0.251 0.499 0.999
2 Dy 0.500 0.000 0.500
3 Dy 0.749 0.501 0.001
4 Dy 0.334 0.667 0.833
5 Dy 0.666 0.333 0.167
6 Tb 0.585 0.168 0.334
7 Tb 0.415 0.832 0.666
8 Tb 0.000 0.000 0.500
9 Tm 0.834 0.668 0.834
10 Tm 0.166 0.332 0.166
11 Tm 0.083 0.167 0.333
12 Tm 0.917 0.833 0.667

Output
VASP energy: -4.5460 eV/atom
ΔE to the lowest computed polymorph: 0.00 eV/f.u.
size of the total moment: 0.00 μB/cell
energy of formation from the pure elements: 0.020 eV per atom

Record 13
This record from Alexandria describes a geometry-optimized TbDy4Tm15 structure. The functional is PBE.

a = 4.942 Å, b = 4.942 Å, c = 24.707 Å
α = 90.00°, β = 90.00°, γ = 90.00°
Fractional positions:
1 Dy 0.000 0.000 0.800
2 Dy 0.000 0.000 0.400
3 Dy 0.000 0.000 0.200
4 Dy 0.000 0.000 0.600
5 Tm 0.000 0.500 0.500
6 Tm 0.500 0.500 0.600
7 Tm 0.500 0.000 0.500
8 Tm 0.000 0.500 0.300
9 Tm 0.000 0.500 0.900
10 Tm 0.500 0.500 0.400
11 Tm 0.500 0.000 0.700
12 Tm 0.500 0.000 0.100
13 Tm 0.500 0.000 0.300
14 Tm 0.500 0.000 0.900
15 Tm 0.500 0.500 0.800
16 Tm 0.000 0.500 0.700
17 Tm 0.500 0.500 0.200
18 Tm 0.000 0.500 0.100
19 Tm 0.500 0.500 0.000
20 Tb 0.000 0.000 0.000

Output
VASP energy: -4.4805 eV/atom
size of the total moment: 0.00 μB/cell
energy of formation from the pure elements: 0.025 eV per atom

Record 14
This record from Alexandria describes a geometry-optimized TbDy12Tm5 structure. The functional is PBE.

a = 6.116 Å, b = 6.115 Å, c = 17.246 Å
α = 86.61°, β = 83.21°, γ = 60.00°
Fractional positions:
1 Tm 0.833 0.333 0.500
2 Tm 0.667 0.667 0.000
3 Tm 0.167 0.667 0.500
4 Tm 0.500 0.000 0.500
5 Tm 0.333 0.333 0.000
6 Dy 0.390 0.666 0.834
7 Dy 0.056 0.334 0.834
8 Dy 0.888 0.000 0.334
9 Dy 0.112 0.000 0.666
10 Dy 0.221 0.333 0.334
11 Dy 0.610 0.334 0.166
12 Dy 0.779 0.667 0.666
13 Dy 0.722 0.000 0.834
14 Dy 0.278 0.000 0.166
15 Dy 0.944 0.666 0.166
16 Dy 0.555 0.667 0.334
17 Dy 0.445 0.333 0.666
18 Tb 0.000 0.000 0.000

Output
VASP energy: -4.5576 eV/atom
size of the total moment: 0.00 μB/cell
energy of formation from the pure elements: 0.010 eV per atom

Record 15
This record from Alexandria describes a geometry-optimized TbDy4Tm3 structure. The functional is PBE.

a = 6.227 Å, b = 7.204 Å, c = 11.137 Å
α = 90.00°, β = 90.00°, γ = 90.00°
Fractional positions:
1 Dy 0.481 0.874 0.751
2 Dy 0.481 0.874 0.249
3 Dy 0.981 0.126 0.749
4 Dy 0.646 0.126 0.500
5 Dy 0.149 0.874 0.500
6 Dy 0.146 0.874 0.000
7 Dy 0.981 0.126 0.251
8 Dy 0.649 0.126 0.000
9 Tm 0.148 0.376 0.500
10 Tm 0.981 0.624 0.750
11 Tm 0.481 0.376 0.250
12 Tm 0.481 0.376 0.750
13 Tm 0.981 0.624 0.250
14 Tm 0.648 0.624 0.000
15 Tb 0.148 0.376 0.000
16 Tb 0.648 0.624 0.500

Output
VASP energy: -4.5536 eV/atom
ΔE to the lowest computed polymorph: 0.00 eV/f.u.
size of the total moment: 0.00 μB/cell
energy of formation from the pure elements: 0.003 eV per atom

Record 16
This record from Alexandria describes a geometry-optimized TbDy2Tm7 structure. The functional is PBE.

a = 6.052 Å, b = 7.836 Å, c = 11.074 Å
α = 135.12°, β = 56.79°, γ = 121.06°
Fractional positions:
1 Dy 0.500 0.900 0.600
2 Dy 0.500 0.100 0.400
3 Tm 0.500 0.700 0.800
4 Tm 0.500 0.500 0.000
5 Tm 0.000 0.800 0.200
6 Tm 0.500 0.300 0.200
7 Tm 0.000 0.400 0.600
8 Tm 0.000 0.600 0.400
9 Tm 0.000 0.200 0.800
10 Tb 0.000 0.000 0.000

Output
VASP energy: -4.4892 eV/atom
ΔE to the lowest computed polymorph: 0.00 eV/f.u.
size of the total moment: 0.00 μB/cell
energy of formation from the pure elements: 0.024 eV per atom

Record 17
This record from Alexandria describes a geometry-optimized TbDy4Tm5 structure. The functional is PBE.

a = 6.215 Å, b = 7.792 Å, c = 7.792 Å
α = 80.85°, β = 66.50°, γ = 66.50°
Fractional positions:
1 Tm 0.095 0.623 0.087
2 Tm 0.718 0.087 0.377
3 Tm 0.182 0.913 0.623
4 Tm 0.682 0.000 0.000
5 Tm 0.805 0.377 0.913
6 Dy 0.105 0.298 0.396
7 Dy 0.500 0.604 0.298
8 Dy 0.403 0.396 0.702
9 Dy 0.799 0.702 0.604
10 Tb 0.222 0.000 0.000

Output
VASP energy: -4.2297 eV/atom
ΔE to the lowest computed polymorph: 1.18 eV/f.u.
size of the total moment: 0.00 μB/cell
energy of formation from the pure elements: 0.310 eV per atom